1.
This record from Alexandria describes a PBEsol-optimized structure of Cs4SiSe4. The functional is meta-GGA SCAN.

- Uncorrected energy: -28.116 eV per atom
- Total moment: 0.0 μB per cell
- DOS at the Fermi energy: 0.000 states/eV per atom
- ΔE_f (raw): -1.274 eV/atom

Cell and atoms, written as CIF:
```
data_Cs4SiSe4
_cell_length_a 14.076
_cell_length_b 14.076
_cell_length_c 14.076
_cell_angle_alpha 90.00
_cell_angle_beta 90.00
_cell_angle_gamma 90.00
_space_group_name_H-M_alt 'P -4 3 n'
_space_group_IT_number 218
_space_group_name_Hall 'P -4n 2 3'
loop_
_atom_site_label
_atom_site_type_symbol
_atom_site_fract_x
_atom_site_fract_y
_atom_site_fract_z
Cs1 Cs 0.084 0.136 0.348
Cs2 Cs 0.152 0.152 0.848
Si1 Si 0.000 0.000 0.000
Si2 Si 0.000 0.500 0.250
Se1 Se 0.091 0.398 0.340
Se2 Se 0.094 0.094 0.094
```

=====

2.
This record from Alexandria describes a PBEsol-optimized structure of Mg2ZrCu. The functional is meta-GGA SCAN.

- Uncorrected energy: -14.058 eV per atom
- ΔE_f: -0.097 eV/atom
- Total moment: 0.8 μB per cell
- DOS at the Fermi energy: 0.530 states/eV per atom

Cell and atoms, written as CIF:
```
data_Mg2ZrCu
_cell_length_a 3.068
_cell_length_b 3.068
_cell_length_c 8.045
_cell_angle_alpha 90.00
_cell_angle_beta 90.00
_cell_angle_gamma 90.00
_space_group_name_H-M_alt 'P 4 m m'
_space_group_IT_number 99
_space_group_name_Hall 'P 4 -2'
loop_
_atom_site_label
_atom_site_type_symbol
_atom_site_fract_x
_atom_site_fract_y
_atom_site_fract_z
Mg1 Mg 0.000 0.000 0.000
Mg2 Mg 0.500 0.500 0.294
Zr1 Zr 0.000 0.000 0.588
Cu1 Cu 0.500 0.500 0.800
```

=====

Which of these has the highest total moment? Mg2ZrCu